Entry from Alexandria: a PBEsol-optimized structure of CsBN2 (SCAN).

The structure in POSCAR format:
```
CsBN2
1.0
2.329 1.345 5.900
-2.329 1.345 5.900
0.000 -2.690 5.900
Cs B N
1 1 2
Cartesian
0.000 0.000 0.000
0.000 0.000 8.849
0.000 0.000 7.513
0.000 0.000 10.186
```

Energy (eV per formula unit): -63.35
Density of states at the Fermi level (states/eV/atom): 0.000
M_tot (μB per formula unit): 1.98
Space group: R-3m, No. 166